## Zr2TlTc (GGA-PBEsol)

Data for an optimized crystal structure of Zr2TlTc.

## Properties
The calculation puts the total energy at -33.2 eV for the cell shown. The volume is 78.6 Å³/cell. Its density is 10247 kg/m3.

Unit cell a=3.291 b=3.291 c=7.255 alpha=90.00 beta=90.00 gamma=90.00
Fractional positions:
1 Zr 0.000 0.000 0.214
2 Zr 0.000 0.000 0.786
3 Tl 0.500 0.500 0.500
4 Tc 0.500 0.500 0.000

## ZrTlTc2 (GGA-PBEsol)

Data for an optimized crystal structure of ZrTlTc2.

## Properties
The volume is 70.8 Å³/cell. Its density is 11523 kg/m3. For the distance to the lowest polymorph of the same formula, the calculation gives 0.165 eV per atom.

Unit cell a=9.670 b=9.670 c=9.670 alpha=17.44 beta=17.44 gamma=17.44
Fractional positions:
1 Zr 0.000 0.000 0.000
2 Tl 0.761 0.761 0.761
3 Tc 0.247 0.247 0.247
4 Tc 0.513 0.513 0.513

## ZrTlTc2 (GGA-PBEsol)

Data for an optimized crystal structure of ZrTlTc2.

## Properties
The volume is 69.3 Å³/cell. Its density is 11779 kg/m3. For the distance to the lowest polymorph of the same formula, the calculation gives 0.098 eV per atom.

Unit cell a=3.355 b=3.355 c=6.158 alpha=90.00 beta=90.00 gamma=90.00
Fractional positions:
1 Zr 0.000 0.000 0.000
2 Tl 0.000 0.000 0.500
3 Tc 0.500 0.500 0.238
4 Tc 0.500 0.500 0.762

## ZrTlTc2 (GGA-PBEsol)

Data for an optimized crystal structure of ZrTlTc2.

## Properties
The volume is 69.0 Å³/cell. Its density is 11828 kg/m3. For the distance to the lowest polymorph of the same formula, the calculation gives 0.000 eV per atom.

Unit cell a=5.456 b=5.456 c=5.456 alpha=144.96 beta=131.63 gamma=61.11
Fractional positions:
1 Zr 0.000 0.000 0.000
2 Tl 0.727 0.227 0.500
3 Tc 0.249 0.749 0.500
4 Tc 0.473 0.473 0.000

## ZrTlTc2 (GGA-PBEsol)

Data for an optimized crystal structure of ZrTlTc2.

## Properties
The volume is 69.1 Å³/cell. Its density is 11812 kg/m3. For the distance to the lowest polymorph of the same formula, the calculation gives 0.185 eV per atom.

Unit cell a=5.433 b=5.433 c=2.875 alpha=103.84 beta=103.84 gamma=114.67
Fractional positions:
1 Zr 0.000 0.000 0.000
2 Tl 0.500 0.500 0.000
3 Tc 0.000 0.500 0.500
4 Tc 0.500 0.000 0.500

## ZrTlTc2 (GGA-PBEsol)

Data for an optimized crystal structure of ZrTlTc2.

## Properties
The volume is 69.4 Å³/cell. Its density is 11755 kg/m3. For the distance to the lowest polymorph of the same formula, the calculation gives 0.249 eV per atom.

Unit cell a=4.614 b=4.614 c=4.614 alpha=60.00 beta=60.00 gamma=60.00
Fractional positions:
1 Zr 0.000 0.000 0.000
2 Tl 0.750 0.750 0.750
3 Tc 0.250 0.250 0.250
4 Tc 0.500 0.500 0.500

## TmTc2 (GGA-PBEsol)

Data for an optimized crystal structure of TmTc2.

## Properties
The calculation puts the total energy at -112.3 eV for the cell shown. The volume is 208.7 Å³/cell. Its density is 11612 kg/m3.

Unit cell a=5.266 b=5.266 c=8.692 alpha=90.00 beta=90.00 gamma=120.00
Fractional positions:
1 Tm 0.333 0.667 0.063
2 Tm 0.333 0.667 0.437
3 Tm 0.667 0.333 0.563
4 Tm 0.667 0.333 0.937
5 Tc 0.000 0.000 0.000
6 Tc 0.000 0.000 0.500
7 Tc 0.171 0.343 0.750
8 Tc 0.171 0.829 0.750
9 Tc 0.343 0.171 0.250
10 Tc 0.657 0.829 0.750
11 Tc 0.829 0.171 0.250
12 Tc 0.829 0.657 0.250

## Tm2ZnTc (GGA-PBEsol)

Data for an optimized crystal structure of Tm2ZnTc.

## Properties
The calculation puts the total energy at -23.3 eV for the cell shown. The volume is 77.1 Å³/cell. Its density is 10789 kg/m3.

Unit cell a=4.778 b=4.778 c=4.778 alpha=60.00 beta=60.00 gamma=60.00
Fractional positions:
1 Tm 0.250 0.250 0.250
2 Tm 0.750 0.750 0.750
3 Zn 0.000 0.000 0.000
4 Tc 0.500 0.500 0.500

## VTc (GGA-PBEsol)

Data for an optimized crystal structure of VTc.

## Properties
The calculation puts the total energy at -21.6 eV for the cell shown. The volume is 26.6 Å³/cell. Its density is 9288 kg/m3.

Unit cell a=2.986 b=2.986 c=2.986 alpha=90.00 beta=90.00 gamma=90.00
Fractional positions:
1 V 0.000 0.000 0.000
2 Tc 0.500 0.500 0.500

## Tc2W (GGA-PBEsol)

Data for an optimized crystal structure of Tc2W.

## Properties
The volume is 44.0 Å³/cell. Its density is 14348 kg/m3. For the distance to the lowest polymorph of the same formula, the calculation gives 0.060 eV per atom.

Unit cell a=4.774 b=4.774 c=4.774 alpha=146.46 beta=132.46 gamma=59.44
Fractional positions:
1 Tc 0.171 0.171 0.000
2 Tc 0.829 0.829 0.000
3 W 0.500 0.500 0.000

## Tc3W (GGA-PBEsol)

Data for an optimized crystal structure of Tc3W.

## Properties
The calculation puts the total energy at -189.1 eV for the cell shown. The volume is 231.0 Å³/cell. Its density is 13740 kg/m3.

Unit cell a=4.778 b=8.834 c=5.473 alpha=90.00 beta=90.00 gamma=90.00
Fractional positions:
1 Tc 0.082 0.250 0.123
2 Tc 0.239 0.508 0.874
3 Tc 0.239 0.992 0.874
4 Tc 0.261 0.008 0.374
5 Tc 0.261 0.492 0.374
6 Tc 0.418 0.750 0.623
7 Tc 0.582 0.250 0.377
8 Tc 0.739 0.508 0.626
9 Tc 0.739 0.992 0.626
10 Tc 0.761 0.008 0.126
11 Tc 0.761 0.492 0.126
12 Tc 0.918 0.750 0.877
13 W 0.079 0.250 0.622
14 W 0.421 0.750 0.122
15 W 0.579 0.250 0.878
16 W 0.921 0.750 0.378

## TcW3 (GGA-PBEsol)

Data for an optimized crystal structure of TcW3.

## Properties
The calculation puts the total energy at -52.5 eV for the cell shown. The volume is 61.2 Å³/cell. Its density is 17638 kg/m3.

Unit cell a=4.424 b=4.424 c=3.124 alpha=90.00 beta=90.00 gamma=90.00
Fractional positions:
1 Tc 0.000 0.000 0.000
2 W 0.000 0.500 0.500
3 W 0.500 0.000 0.500
4 W 0.500 0.500 0.000

## TcW3 (GGA-PBEsol)

Data for an optimized crystal structure of TcW3.

## Properties
The calculation puts the total energy at -52.5 eV for the cell shown. The volume is 61.2 Å³/cell. Its density is 17618 kg/m3.

Unit cell a=5.187 b=5.187 c=5.187 alpha=144.90 beta=129.50 gamma=62.98
Fractional positions:
1 Tc 0.000 0.000 0.000
2 W 0.253 0.753 0.500
3 W 0.500 0.500 0.000
4 W 0.747 0.247 0.500

## TcW3 (GGA-PBEsol)

Data for an optimized crystal structure of TcW3.

## Properties
The calculation puts the total energy at -104.9 eV for the cell shown. The volume is 123.6 Å³/cell. Its density is 17449 kg/m3.

Unit cell a=4.982 b=4.982 c=4.982 alpha=90.00 beta=90.00 gamma=90.00
Fractional positions:
1 Tc 0.000 0.000 0.000
2 Tc 0.500 0.500 0.500
3 W 0.000 0.250 0.500
4 W 0.000 0.750 0.500
5 W 0.250 0.500 0.000
6 W 0.500 0.000 0.250
7 W 0.500 0.000 0.750
8 W 0.750 0.500 0.000

## TcW3 (GGA-PBEsol)

Data for an optimized crystal structure of TcW3.

## Properties
The calculation puts the total energy at -105.0 eV for the cell shown. The volume is 122.3 Å³/cell. Its density is 17632 kg/m3.

Unit cell a=5.420 b=5.420 c=4.414 alpha=90.00 beta=90.00 gamma=109.34
Fractional positions:
1 Tc 0.122 0.878 0.750
2 Tc 0.878 0.122 0.250
3 W 0.126 0.376 0.750
4 W 0.373 0.627 0.250
5 W 0.376 0.126 0.250
6 W 0.624 0.874 0.750
7 W 0.627 0.373 0.750
8 W 0.874 0.624 0.250

## TcW2 (GGA-PBEsol)

Data for an optimized crystal structure of TcW2.

## Properties
The volume is 91.2 Å³/cell. Its density is 16957 kg/m3. For the distance to the lowest polymorph of the same formula, the calculation gives 0.005 eV per atom.

Unit cell a=5.169 b=5.169 c=6.267 alpha=107.97 beta=107.97 gamma=35.15
Fractional positions:
1 Tc 0.162 0.162 0.087
2 Tc 0.838 0.838 0.913
3 W 0.168 0.168 0.585
4 W 0.496 0.496 0.249
5 W 0.504 0.504 0.751
6 W 0.832 0.832 0.415

## Tc2W (GGA-PBEsol)

Data for an optimized crystal structure of Tc2W.

## Properties
The volume is 176.5 Å³/cell. Its density is 14292 kg/m3. For the distance to the lowest polymorph of the same formula, the calculation gives 0.000 eV per atom.

Unit cell a=5.367 b=4.211 c=7.810 alpha=90.00 beta=90.00 gamma=90.00
Fractional positions:
1 Tc 0.035 0.250 0.233
2 Tc 0.168 0.250 0.566
3 Tc 0.332 0.750 0.066
4 Tc 0.465 0.750 0.733
5 Tc 0.535 0.250 0.267
6 Tc 0.668 0.250 0.934
7 Tc 0.832 0.750 0.434
8 Tc 0.965 0.750 0.767
9 W 0.173 0.250 0.904
10 W 0.327 0.750 0.404
11 W 0.673 0.250 0.596
12 W 0.827 0.750 0.096

## TcW3 (GGA-PBEsol)

Data for an optimized crystal structure of TcW3.

## Properties
The calculation puts the total energy at -52.4 eV for the cell shown. The volume is 61.2 Å³/cell. Its density is 17630 kg/m3.

Unit cell a=5.175 b=5.175 c=5.175 alpha=116.99 beta=116.99 gamma=116.99
Fractional positions:
1 Tc 0.000 0.000 0.000
2 W 0.000 0.500 0.500
3 W 0.500 0.000 0.500
4 W 0.500 0.500 0.000

## Tc5W3 (GGA-PBEsol)

Data for an optimized crystal structure of Tc5W3.

## Properties
The calculation puts the total energy at -97.0 eV for the cell shown. The volume is 117.8 Å³/cell. Its density is 14684 kg/m3.

Unit cell a=5.367 b=5.367 c=4.254 alpha=90.00 beta=90.00 gamma=106.01
Fractional positions:
1 Tc 0.000 0.000 0.000
2 Tc 0.000 0.500 0.000
3 Tc 0.275 0.275 0.500
4 Tc 0.500 0.000 0.000
5 Tc 0.725 0.725 0.500
6 W 0.223 0.777 0.500
7 W 0.500 0.500 0.000
8 W 0.777 0.223 0.500

## TcW3 (GGA-PBEsol)

Data for an optimized crystal structure of TcW3.

## Properties
The calculation puts the total energy at -52.4 eV for the cell shown. The volume is 61.2 Å³/cell. Its density is 17619 kg/m3.

Unit cell a=2.724 b=4.409 c=5.180 alpha=90.00 beta=100.34 gamma=90.00
Fractional positions:
1 Tc 0.000 0.000 0.000
2 W 0.255 0.500 0.751
3 W 0.500 0.000 0.500
4 W 0.745 0.500 0.249